(A)
Density functional theory data (GGA-PBE) for Dy2NiCl after structural relaxation.

```
4
Lattice="3.894 0.000 0.000 1.947 3.372 0.000 1.947 1.124 7.259" Properties=species:S:1:pos:R:3 pbc="T T T"
Ni 0.000 0.000 0.000
Cl 3.894 2.248 3.629
Dy 5.841 3.372 5.803
Dy 1.947 1.124 1.455
```

Symmetry: No. 166
Calculated density (g/cm3): 7.3
Crystal system: trigonal

(B)
Density functional theory data (GGA-PBE) for Dy2NiCl after structural relaxation.

```
4
Lattice="3.887 0.000 0.000 1.944 3.367 0.000 1.944 1.122 7.395" Properties=species:S:1:pos:R:3 pbc="T T T"
Dy 1.944 1.122 5.932
Dy 1.944 1.122 1.421
Ni 5.831 3.367 7.378
Cl 3.887 2.244 3.756
```

Symmetry: No. 160
Calculated density (g/cm3): 7.2
Crystal system: trigonal

The most stable structure shown above is (A); the least stable is (B).